The following is a PBE-GGA calculation of a geometry-optimized AlFeCl structure, from Alexandria.

Unit cell a=4.3233 b=4.3233 c=4.3233 alpha=60.00 beta=60.00 gamma=60.00
Closest atoms and distances in Å follow each position.
Sites, in units of the cell vectors:
Al (0.5000, 0.5000, 0.5000)  4 Cl 2.65
Fe (0.0000, 0.0000, 0.0000)  4 Cl 2.65
Cl (0.7500, 0.7500, 0.7500)  4 Al 2.65, 4 Fe 2.65

Properties
Energy relative to the lowest polymorph listed for this composition = 88.3 kJ per mole of atoms
Total magnetization = 2.432 μB per formula unit
Raw formation energy = 2.7 eV/f.u.
ρ = 3.44 g/cm³
Space-group type = F-43m

=====

The following is a PBE-GGA calculation of a geometry-optimized Cr2AgSnB structure, from Alexandria.

Unit cell a=5.0731 b=5.0007 c=5.0731 alpha=90.00 beta=90.00 gamma=90.00
Closest atoms and distances in Å follow each position.
Sites, in units of the cell vectors:
Cr (0.0000, 0.0000, 0.5000)  2 Ag 2.54
Cr (0.5000, 0.0000, 0.0000)  2 Ag 2.54
B (0.5000, 0.5000, 0.5000)  8 Cr 3.56, 4 Sn 3.59
Sn (0.0000, 0.5000, 0.0000)  2 Ag 2.50
Ag (0.0000, 0.0000, 0.0000)  2 Sn 2.50, 4 Cr 2.54

Properties
Total magnetization = 9.125 μB per formula unit
ρ = 4.40 g/cm³
E_form = 1.927 eV per atom
Space-group type = P4/mmm

=====

The following is a PBE-GGA calculation of a geometry-optimized HfZnO2 structure, from Alexandria.

Unit cell a=6.3749 b=6.3749 c=6.3766 alpha=60.01 beta=60.01 gamma=90.00
Closest atoms and distances in Å follow each position.
Sites, in units of the cell vectors:
Zn (0.5000, 0.5000, 0.0000)  12 O 3.74, 4 Hf 3.90, 4 Zn 3.90
Zn (0.2500, 0.7500, 0.5000)  12 O 3.74, 4 Hf 3.90, 4 Zn 3.90
Hf (0.0000, 0.0000, 0.0000)  4 O 1.95
Hf (0.7500, 0.2500, 0.5000)  4 O 1.95
O (0.8752, 0.1250, 0.2500)  2 Hf 1.95
O (0.8748, 0.6250, 0.2500)  2 Hf 1.95
O (0.3750, 0.1248, 0.7500)  2 Hf 1.95
O (0.8750, 0.1252, 0.7500)  2 Hf 1.95

Properties
Total magnetization = 0.000 μB per formula unit
Raw formation energy = -8.9 eV/f.u.
ρ = 5.00 g/cm³
Space-group type = Fd-3m

=====

The following is a PBE-GGA calculation of a geometry-optimized Ca4BiSe2 structure, from Alexandria.

Unit cell a=4.3672 b=7.2368 c=14.1772 alpha=90.00 beta=90.00 gamma=107.56
Closest atoms and distances in Å follow each position.
Sites, in units of the cell vectors:
Ca (0.7688, 0.5376, 0.1235)  3 Se 2.89-3.02
Ca (0.7688, 0.5376, 0.3765)  3 Se 2.89-3.02
Ca (0.2312, 0.4624, 0.8765)  3 Se 2.89-3.02
Ca (0.2312, 0.4624, 0.6235)  3 Se 2.89-3.02
Ca (0.9397, 0.8793, 0.7500)  2 Se 2.92, 2 Bi 3.21
Ca (0.0603, 0.1207, 0.2500)  2 Se 2.92, 2 Bi 3.21
Ca (0.5000, 0.0000, 0.0000)  4 Se 2.97
Ca (0.5000, 0.0000, 0.5000)  4 Se 2.97
Bi (0.6100, 0.2200, 0.7500)  6 Ca 3.21-3.28
Bi (0.3900, 0.7800, 0.2500)  6 Ca 3.21-3.28
Se (0.1336, 0.2671, 0.4434)  6 Ca 2.89-3.02
Se (0.8664, 0.7329, 0.9434)  6 Ca 2.89-3.02
Se (0.1336, 0.2671, 0.0566)  6 Ca 2.89-3.02
Se (0.8664, 0.7329, 0.5566)  6 Ca 2.89-3.02

Properties
Energy relative to the lowest polymorph listed for this composition = 0.0 kJ per mole of atoms
Total magnetization = 0.936 μB per formula unit
Raw formation energy = -9.9 eV/f.u.
ρ = 4.10 g/cm³
Space-group type = Cmcm

=====

The following is a PBE-GGA calculation of a geometry-optimized AcNd5Sm7 structure, from Alexandria.

Unit cell a=6.8128 b=8.9690 c=8.9690 alpha=79.88 beta=67.68 gamma=67.68
Closest atoms and distances in Å follow each position.
Sites, in units of the cell vectors:
Ac (0.0216, 0.9784, 0.9784)  7 Sm 3.80-3.99, 4 Nd 3.99
Nd (0.4631, 0.0074, 0.5377)  2 Nd 3.21-3.26, 4 Sm 3.46-3.56
Nd (0.9918, 0.0074, 0.5377)  2 Nd 3.21-3.26, 4 Sm 3.46-3.56
Nd (0.4631, 0.5377, 0.0074)  2 Nd 3.21-3.26, 4 Sm 3.46-3.56
Nd (0.9918, 0.5377, 0.0074)  2 Nd 3.21-3.26, 4 Sm 3.46-3.56
Nd (0.7515, 0.7485, 0.7485)  4 Nd 3.26, 2 Sm 3.39
Sm (0.7038, 0.2962, 0.2962)  3 Sm 3.46, 4 Nd 3.56, 1 Ac 3.80
Sm (0.4144, 0.5856, 0.5856)  3 Sm 3.46-3.83, 4 Nd 3.86
Sm (0.9878, 0.3489, 0.6755)  5 Nd 3.39-3.69, 2 Sm 3.69-3.76
Sm (0.9878, 0.6755, 0.3489)  5 Nd 3.39-3.69, 2 Sm 3.69-3.76
Sm (0.2536, 0.2464, 0.2464)  6 Sm 3.42-3.69, 4 Nd 3.46
Sm (0.4849, 0.8396, 0.1907)  2 Sm 3.42-3.83, 5 Nd 3.48-3.77
Sm (0.4849, 0.1907, 0.8396)  2 Sm 3.42-3.83, 5 Nd 3.48-3.77

Properties
Total magnetization = 0.001 μB per formula unit
ρ = 7.09 g/cm³
E_form = 0.215 eV per atom
Space-group type = Imm2

=====

The following is a PBE-GGA calculation of a geometry-optimized Dy2ScAg3Se6 structure, from Alexandria.

Unit cell a=4.1363 b=9.2167 c=8.4163 alpha=104.03 beta=104.23 gamma=90.00
Closest atoms and distances in Å follow each position.
Sites, in units of the cell vectors:
Dy (0.8373, 0.6904, 0.6747)  6 Se 2.82-2.94
Dy (0.1627, 0.3096, 0.3253)  6 Se 2.82-2.94
Sc (0.5000, 0.0000, 0.0000)  6 Se 2.73-2.77
Ag (0.5000, 0.5000, 0.0000)  2 Se 2.53
Ag (0.8350, 0.2547, 0.6701)  4 Se 2.66-2.82
Ag (0.1650, 0.7453, 0.3299)  4 Se 2.66-2.82
Se (0.3280, 0.8945, 0.6561)  1 Ag 2.67, 1 Sc 2.73, 2 Dy 2.82
Se (0.6591, 0.5345, 0.3181)  3 Ag 2.53-2.82
Se (0.6720, 0.1055, 0.3439)  1 Ag 2.67, 1 Sc 2.73, 2 Dy 2.82
Se (0.9856, 0.1926, 0.9711)  1 Ag 2.66, 2 Sc 2.77, 1 Dy 2.82
Se (0.0144, 0.8074, 0.0289)  1 Ag 2.66, 2 Sc 2.77, 1 Dy 2.82
Se (0.3409, 0.4655, 0.6819)  3 Ag 2.53-2.82

Properties
Total magnetization = 0.000 μB per formula unit
Raw formation energy = -13.5 eV/f.u.
ρ = 6.44 g/cm³
Space-group type = C2/m